Below is a relaxed SrNiRh2 crystal, with properties calculated at the PBE-GGA level.

Cell: 2.9942 4.7893 4.7741 Å, 90.00 90.00 90.00°
Site moments in Bohr magnetons follow the coordinates.
Element x y z (fractional)
Ni 0.0000 0.5000 0.5000  0.36
Rh 0.5000 0.5000 0.0000  0.33
Rh 0.0000 0.0000 0.0000  0.17
Sr 0.5000 0.0000 0.5000  -0.02

- electronic total energy (eV per atom) = -5.20
- SG = No. 47
- relative energy among the computed polymorphs (eV per atom) = 0.4163
- formation energy from the elements (eV/atom) = 0.3405
- DOS at the Fermi energy (states/eV/f.u.) = 6.827